# 1
# NaLi3La

An optimized crystal structure of NaLi3La (PBE, Alexandria).

## Properties
Excess energy over the best structure of this formula in the dataset ... 0 meV/atom
Calculated formation energy ... 370.5 meV per atom

```
data_NaLi3La
_symmetry_space_group_name_H-M 'P m -3 m'
_symmetry_Int_Tables_number 221
_symmetry_space_group_name_Hall '-P 4 2 3'
_cell_length_a 5.224
_cell_length_b 5.224
_cell_length_c 5.224
_cell_angle_alpha 90.00
_cell_angle_beta 90.00
_cell_angle_gamma 90.00
loop_
_atom_site_label
_atom_site_fract_x
_atom_site_fract_y
_atom_site_fract_z
Na1 0.000 0.000 0.000
Li1 0.000 0.000 0.500
La1 0.500 0.500 0.500
```


# 2
# Ti6Al10Mo

An optimized crystal structure of Ti6Al10Mo (PBE, Alexandria).

## Properties
Calculated formation energy ... -192.0 meV per atom

```
data_Ti6Al10Mo
_symmetry_space_group_name_H-M 'P -3 1 m'
_symmetry_Int_Tables_number 162
_symmetry_space_group_name_Hall '-P 3 2'
_cell_length_a 7.6988
_cell_length_b 7.6988
_cell_length_c 5.4511
_cell_angle_alpha 90.00
_cell_angle_beta 90.00
_cell_angle_gamma 120.00
loop_
_atom_site_label
_atom_site_fract_x
_atom_site_fract_y
_atom_site_fract_z
Ti1 0.0000 0.3770 0.1947
Al1 0.0000 0.2651 0.6834
Al2 0.3333 0.6667 0.0000
Al3 0.3333 0.6667 0.5000
Mo1 0.0000 0.0000 0.0000
```


# 3
# YMn2Rh

An optimized crystal structure of YMn2Rh (PBE, Alexandria).

## Properties
Calculated formation energy ... 186.0 meV per atom

```
data_YMn2Rh
_symmetry_space_group_name_H-M 'C 1 2/m 1'
_symmetry_Int_Tables_number 12
_symmetry_space_group_name_Hall '-C 2y'
_cell_length_a 5.508
_cell_length_b 9.658
_cell_length_c 3.048
_cell_angle_alpha 90.00
_cell_angle_beta 118.82
_cell_angle_gamma 90.00
loop_
_atom_site_label
_atom_site_fract_x
_atom_site_fract_y
_atom_site_fract_z
Y1 0.000 0.000 0.000
Mn1 0.250 0.250 0.500
Rh1 0.000 0.500 0.000
```


# 4
# CeEr6Tm3Th2

An optimized crystal structure of CeEr6Tm3Th2 (PBE, Alexandria).

## Properties
Calculated formation energy ... 34.1 meV per atom

```
data_CeEr6Tm3Th2
_symmetry_space_group_name_H-M 'C 1 2/m 1'
_symmetry_Int_Tables_number 12
_symmetry_space_group_name_Hall '-C 2y'
_cell_length_a 6.095
_cell_length_b 10.552
_cell_length_c 11.601
_cell_angle_alpha 90.00
_cell_angle_beta 100.11
_cell_angle_gamma 90.00
loop_
_atom_site_label
_atom_site_fract_x
_atom_site_fract_y
_atom_site_fract_z
Ce1 0.000 0.000 0.000
Er1 0.249 0.500 0.248
Er2 0.250 0.167 0.248
Tm1 0.000 0.167 0.500
Tm2 0.000 0.500 0.500
Th1 0.000 0.333 0.000
```


# 5
# Ca2AcLu

An optimized crystal structure of Ca2AcLu (PBE, Alexandria).

## Properties
Excess energy over the best structure of this formula in the dataset ... 0 meV/atom
Calculated formation energy ... 147.2 meV per atom

```
data_Ca2AcLu
_symmetry_space_group_name_H-M 'F m -3 m'
_symmetry_Int_Tables_number 225
_symmetry_space_group_name_Hall '-F 4 2 3'
_cell_length_a 8.501
_cell_length_b 8.501
_cell_length_c 8.501
_cell_angle_alpha 90.00
_cell_angle_beta 90.00
_cell_angle_gamma 90.00
loop_
_atom_site_label
_atom_site_fract_x
_atom_site_fract_y
_atom_site_fract_z
Ca1 0.250 0.250 0.250
Ac1 0.000 0.000 0.000
Lu1 0.000 0.000 0.500
```


# 6
# Sc2OsO

An optimized crystal structure of Sc2OsO (PBE, Alexandria).

## Properties
E_form (uncorrected) ... -1.217 eV per atom

```
data_Sc2OsO
_symmetry_space_group_name_H-M 'P 4/m m m'
_symmetry_Int_Tables_number 123
_symmetry_space_group_name_Hall '-P 4 2'
_cell_length_a 2.991
_cell_length_b 2.991
_cell_length_c 6.464
_cell_angle_alpha 90.00
_cell_angle_beta 90.00
_cell_angle_gamma 90.00
loop_
_atom_site_label
_atom_site_fract_x
_atom_site_fract_y
_atom_site_fract_z
Sc1 0.000 0.000 0.231
Os1 0.500 0.500 0.500
O1 0.500 0.500 0.000
```


# 7
# RbBaAgS2

An optimized crystal structure of RbBaAgS2 (PBE, Alexandria).

## Properties
E_form (uncorrected) ... -1.095 eV per atom

```
data_RbBaAgS2
_symmetry_space_group_name_H-M 'C m m e'
_symmetry_Int_Tables_number 67
_symmetry_space_group_name_Hall '-C 2a 2'
_cell_length_a 8.958
_cell_length_b 15.841
_cell_length_c 5.458
_cell_angle_alpha 90.00
_cell_angle_beta 90.00
_cell_angle_gamma 90.00
loop_
_atom_site_label
_atom_site_fract_x
_atom_site_fract_y
_atom_site_fract_z
Rb1 0.000 0.250 0.209
Ba1 0.250 0.000 0.500
Ag1 0.000 0.000 0.000
S1 0.000 0.114 0.725
```


# 8
# AlAsOs2

An optimized crystal structure of AlAsOs2 (PBE, Alexandria).

## Properties
Excess energy over the best structure of this formula in the dataset ... 196 meV/atom
Calculated formation energy ... 154.1 meV per atom

```
data_AlAsOs2
_symmetry_space_group_name_H-M 'P 4 m m'
_symmetry_Int_Tables_number 99
_symmetry_space_group_name_Hall 'P 4 -2'
_cell_length_a 3.194
_cell_length_b 3.194
_cell_length_c 5.753
_cell_angle_alpha 90.00
_cell_angle_beta 90.00
_cell_angle_gamma 90.00
loop_
_atom_site_label
_atom_site_fract_x
_atom_site_fract_y
_atom_site_fract_z
Al1 0.000 0.000 0.000
As1 0.500 0.500 0.273
Os1 0.000 0.000 0.473
Os2 0.500 0.500 0.819
```


# 9
# InI3

An optimized crystal structure of InI3 (PBE, Alexandria).

## Properties
E_form (uncorrected) ... -0.465 eV per atom

```
data_InI3
_symmetry_space_group_name_H-M 'C 1 2 1'
_symmetry_Int_Tables_number 5
_symmetry_space_group_name_Hall 'C 2y'
_cell_length_a 14.816
_cell_length_b 6.582
_cell_length_c 4.421
_cell_angle_alpha 90.00
_cell_angle_beta 90.94
_cell_angle_gamma 90.00
loop_
_atom_site_label
_atom_site_fract_x
_atom_site_fract_y
_atom_site_fract_z
In1 0.000 0.000 0.000
I1 0.000 0.714 0.500
I2 0.157 0.205 0.010
```


# 10
# Sr2ScTa

An optimized crystal structure of Sr2ScTa (PBE, Alexandria).

## Properties
Excess energy over the best structure of this formula in the dataset ... 482 meV/atom
Calculated formation energy ... 1018.0 meV per atom

```
data_Sr2ScTa
_symmetry_space_group_name_H-M 'P 4/m m m'
_symmetry_Int_Tables_number 123
_symmetry_space_group_name_Hall '-P 4 2'
_cell_length_a 4.207
_cell_length_b 4.207
_cell_length_c 7.178
_cell_angle_alpha 90.00
_cell_angle_beta 90.00
_cell_angle_gamma 90.00
loop_
_atom_site_label
_atom_site_fract_x
_atom_site_fract_y
_atom_site_fract_z
Sr1 0.000 0.000 0.233
Sc1 0.500 0.500 0.500
Ta1 0.500 0.500 0.000
```


# 11
# GaCu2Bi2

An optimized crystal structure of GaCu2Bi2 (PBE, Alexandria).

## Properties
Excess energy over the best structure of this formula in the dataset ... 0 meV/atom
Calculated formation energy ... 137.3 meV per atom

```
data_GaCu2Bi2
_symmetry_space_group_name_H-M 'I 4/m m m'
_symmetry_Int_Tables_number 139
_symmetry_space_group_name_Hall '-I 4 2'
_cell_length_a 3.596
_cell_length_b 3.596
_cell_length_c 17.238
_cell_angle_alpha 90.00
_cell_angle_beta 90.00
_cell_angle_gamma 90.00
loop_
_atom_site_label
_atom_site_fract_x
_atom_site_fract_y
_atom_site_fract_z
Ga1 0.000 0.000 0.000
Cu1 0.000 0.500 0.250
Bi1 0.000 0.000 0.378
```


# 12
# Sm5HoSc

An optimized crystal structure of Sm5HoSc (PBE, Alexandria).

## Properties
Calculated formation energy ... 876.3 meV per atom

```
data_Sm5HoSc
_symmetry_space_group_name_H-M 'C 1 2/m 1'
_symmetry_Int_Tables_number 12
_symmetry_space_group_name_Hall '-C 2y'
_cell_length_a 11.611
_cell_length_b 8.691
_cell_length_c 5.815
_cell_angle_alpha 90.00
_cell_angle_beta 92.49
_cell_angle_gamma 90.00
loop_
_atom_site_label
_atom_site_fract_x
_atom_site_fract_y
_atom_site_fract_z
Sm1 0.000 0.000 0.000
Sm2 0.000 0.312 0.500
Sm3 0.248 0.000 0.534
Ho1 0.000 0.500 0.000
Sc1 0.000 0.000 0.500
```


no.,magnetic moment (μB/f.u.)
1,0.567
2,0.000
3,7.394
4,0.434
5,0.000
6,0.000
7,0.000
8,0.000
9,0.000
10,1.790
11,0.000
12,0.003